No. 1
This record from the Alexandria database describes crystalline La4NdN5 at its relaxed geometry. The functional is PBE.

a = 6.4270 Å, b = 6.4270 Å, c = 6.4270 Å
α = 100.51°, β = 100.51°, γ = 129.44°
Closest atoms and distances in Å follow each position.
Element x y z (fractional)
La 0.1009 0.7005 0.8014  5 N 2.48-2.65
La 0.2995 0.1009 0.4004  5 N 2.48-2.65
La 0.7005 0.8991 0.5996  5 N 2.48-2.65
La 0.8991 0.2995 0.1986  5 N 2.48-2.65
Nd 0.4987 0.4987 0.0000  5 N 2.41-2.59
N 0.0594 0.0594 0.0000  1 Nd 2.41, 4 La 2.62
N 0.2509 0.4498 0.6044  4 La 2.48-2.65, 1 Nd 2.59
N 0.4498 0.8454 0.1989  4 La 2.48-2.65, 1 Nd 2.59
N 0.6466 0.2509 0.8011  4 La 2.48-2.65, 1 Nd 2.59
N 0.8454 0.6466 0.3956  4 La 2.48-2.65, 1 Nd 2.59

Values from the calculation:
Its uncorrected formation energy is -13.34 eV/f.u. Its space-group type is No. 79.

***

No. 2
This record from the Alexandria database describes crystalline LaNd2N at its relaxed geometry. The functional is PBE.

a = 3.2626 Å, b = 3.2626 Å, c = 9.3512 Å
α = 90.00°, β = 90.00°, γ = 90.00°
Closest atoms and distances in Å follow each position.
Element x y z (fractional)
La 0.0000 0.0000 0.0000  4 La 3.26
Nd 0.5000 0.5000 0.3422  4 N 2.74, 1 Nd 2.95
Nd 0.5000 0.5000 0.6578  4 N 2.74, 1 Nd 2.95
N 0.0000 0.0000 0.5000  8 Nd 2.74

Values from the calculation:
Its uncorrected formation energy is -0.46 eV/f.u. Its space-group type is No. 123.